# 1
HgSbIr2 after structural relaxation. Source: the Alexandria database, functional GGA-PBE.

It has space group Immm (No. 71), with a = 4.3855 Å, b = 4.3969 Å, c = 7.3633 Å, α = 90.00°, β = 90.00° and γ = 90.00°. The distinct sites, in fractional coordinates, are Hg at (0.0000, 0.0000, 0.0000), Sb at (0.0000, 0.0000, 0.5000) and Ir at (0.0000, 0.5000, 0.2496).

As for the total magnetization: 0.000 μB/atom. The energy above the most stable polymorph in this dataset is 46 meV/atom. The formation energy from raw total energies comes out at 0.369 eV per atom.

***

# 2
Nd2YMg3 after structural relaxation. Source: the Alexandria database, functional GGA-PBE.

It has space group P4/mmm (No. 123), with a = 3.8516 Å, b = 3.8516 Å, c = 11.6175 Å, α = 90.00°, β = 90.00° and γ = 90.00°. The distinct sites, in fractional coordinates, are Nd at (0.0000, 0.0000, 0.1696), Y at (0.0000, 0.0000, 0.5000), Mg at (0.5000, 0.5000, 0.0000) and Mg at (0.5000, 0.5000, 0.3399).

As for the total magnetization: 0.000 μB/atom. The calculation puts the formation energy at -0.6 eV per formula unit.